The following is a PBE calculation of a geometry-optimized Sr2SF2 structure, from the Alexandria database.

Summary:
- M_tot (μB/f.u.) = 0.0
- formation energy from raw total energies (kJ/mol of formula units) = -1508
- E (eV/atom) = -5.3720
- space-group type = C2/m, No. 12

Geometry as CIF:
```
data_Sr2SF2
_space_group_name_H-M_alt 'P 1'
_space_group_IT_number 1
_cell_length_a 3.927
_cell_length_b 3.927
_cell_length_c 7.055
_cell_angle_alpha 106.06
_cell_angle_beta 106.06
_cell_angle_gamma 89.99
loop_
_space_group_symop_operation_xyz
'x,y,z'
loop_
_atom_site_label
_atom_site_type_symbol
_atom_site_fract_x
_atom_site_fract_y
_atom_site_fract_z
F1 F 0.250 0.750 0.500
Sr1 Sr 0.636 0.636 0.270
S1 S 0.000 0.000 0.000
F2 F 0.750 0.250 0.500
Sr2 Sr 0.364 0.364 0.730
```

---

The following is a PBE calculation of a geometry-optimized SrTmS2F structure, from the Alexandria database.

Summary:
- M_tot (μB/f.u.) = 0.0
- formation energy from raw total energies (kJ/mol of formula units) = -1247
- E (eV/atom) = -5.8408
- space-group type = P4/nmm, No. 129

Geometry as CIF:
```
data_SrTmS2F
_space_group_name_H-M_alt 'P 1'
_space_group_IT_number 1
_cell_length_a 3.947
_cell_length_b 3.947
_cell_length_c 14.003
_cell_angle_alpha 90.00
_cell_angle_beta 90.00
_cell_angle_gamma 90.00
loop_
_space_group_symop_operation_xyz
'x,y,z'
loop_
_atom_site_label
_atom_site_type_symbol
_atom_site_fract_x
_atom_site_fract_y
_atom_site_fract_z
S1 S 0.500 0.000 0.293
S2 S 0.500 0.000 0.911
F1 F 0.500 0.500 0.500
Tm1 Tm 0.500 0.000 0.118
Sr1 Sr 0.000 0.500 0.393
S3 S 0.000 0.500 0.089
Tm2 Tm 0.000 0.500 0.882
F2 F 0.000 0.000 0.500
S4 S 0.000 0.500 0.707
Sr2 Sr 0.500 0.000 0.607
```

---

Number 2 is which compound?
SrTmS2F

---

M_tot of number 2 (SrTmS2F)?
0.0 μB/f.u.

---

Which of these has the highest E?
Sr2SF2